VASP calculation (PBE+U) on CaFe3C4O12 after structural relaxation.

Summary:
VASP energy	-148.4	eV per formula unit
density	3.37	g/cm3
size of the total moment	12.0	μB per cell

```
CaFe3C4O12
1.0
4.8584 2.8050 2.6980
-4.8584 2.8050 2.6980
0.0000 -5.6100 2.6980
Ca Fe C O
1 3 4 12
Direct
0.0000 0.0000 0.0000
0.0000 0.5372 0.4628
0.4628 0.0000 0.5372
0.5372 0.4628 0.0000
0.0397 0.5000 0.9603
0.5000 0.5000 0.5000
0.5000 0.9603 0.0397
0.9603 0.0397 0.5000
0.0250 0.6229 0.8174
0.0941 0.9059 0.5000
0.1826 0.3771 0.9750
0.3664 0.6336 0.5000
0.3771 0.9750 0.1826
0.5000 0.0941 0.9059
0.5000 0.3664 0.6336
0.6229 0.8174 0.0250
0.6336 0.5000 0.3664
0.8174 0.0250 0.6229
0.9059 0.5000 0.0941
0.9750 0.1826 0.3771
```